No. 1
The following is a DFT calculation (GGA-PBEsol) of Bi2P3Se9 after structural relaxation.

Geometry as extended XYZ:
```
56
Lattice="9.433 0.000 0.000 0.000 7.411 0.000 -8.975 0.000 21.005" Properties=species:S:1:pos:R:3 pbc="T T T"
Bi -2.245 0.500 6.984
Bi -6.732 3.206 17.486
Bi -2.183 1.333 13.685
Bi 2.304 2.373 3.183
Bi -1.846 5.038 17.823
Bi 2.642 6.079 7.320
Bi 7.191 4.205 3.519
Bi 2.703 6.911 14.022
P -0.629 0.394 3.072
P -5.116 3.312 13.574
P -3.842 4.943 14.443
P 0.645 6.174 3.941
P -4.517 4.182 20.027
P -0.030 6.935 9.525
P 0.488 0.476 11.481
P 4.976 3.230 0.978
P -0.187 1.237 17.065
P 4.301 2.468 6.562
P 5.575 4.100 7.431
P 1.087 7.017 17.934
Se 0.557 1.096 1.354
Se -3.930 2.610 11.857
Se -6.394 0.486 18.418
Se -5.022 1.801 15.193
Se -0.535 1.905 4.690
Se -1.906 3.219 7.916
Se 0.489 4.658 2.320
Se -3.999 6.459 12.822
Se -6.700 4.497 20.023
Se -2.213 6.620 9.520
Se -0.341 5.399 5.756
Se -4.829 5.718 16.258
Se 0.637 0.982 7.999
Se -3.851 2.723 18.501
Se 3.826 1.361 1.033
Se -0.661 2.344 11.536
Se -1.833 4.073 14.787
Se 2.654 7.044 4.285
Se -2.196 0.367 16.721
Se 2.292 3.338 6.218
Se 1.119 5.067 9.470
Se -3.368 6.050 19.972
Se 4.309 4.688 2.504
Se -0.178 6.429 13.007
Se 5.287 1.693 4.747
Se 0.800 2.012 15.250
Se 2.671 0.791 11.485
Se 7.159 2.914 0.982
Se 4.457 0.952 8.183
Se -0.030 2.753 18.686
Se 2.365 4.192 13.090
Se 0.993 5.507 16.315
Se 5.481 5.610 5.813
Se 6.852 6.925 2.587
Se 4.389 4.801 9.148
Se -0.099 6.316 19.651
```

Properties
**Space group**: P2_1/c, No. 14
**Formation energy from raw total energies**: -0.181 eV/atom

***

No. 2
The following is a DFT calculation (GGA-PBEsol) of Tm6Al7Cu16 after structural relaxation.

Geometry as extended XYZ:
```
29
Lattice="0.000 6.031 6.031 6.031 0.000 6.031 6.031 6.031 0.000" Properties=species:S:1:pos:R:3 pbc="T T T"
Tm 6.031 6.031 2.545
Tm 6.031 2.545 6.031
Tm 9.518 6.031 6.031
Tm 2.545 6.031 6.031
Tm 6.031 9.518 6.031
Tm 6.031 6.031 9.518
Al 3.016 3.016 0.000
Al 3.016 0.000 3.016
Al 6.031 3.016 3.016
Al 0.000 3.016 3.016
Al 3.016 6.031 3.016
Al 3.016 3.016 6.031
Al 6.031 6.031 6.031
Cu 7.496 4.566 4.566
Cu 2.087 2.087 2.087
Cu 3.944 3.944 2.087
Cu 3.944 2.087 3.944
Cu 4.566 4.566 4.566
Cu 7.496 7.496 4.566
Cu 7.496 4.566 7.496
Cu 2.087 3.944 3.944
Cu 9.975 8.119 8.119
Cu 4.566 7.496 4.566
Cu 4.566 4.566 7.496
Cu 7.496 7.496 7.496
Cu 8.119 9.975 8.119
Cu 8.119 8.119 9.975
Cu 9.975 9.975 9.975
Cu 4.566 7.496 7.496
```

Properties
**Space group**: Fm-3m, No. 225
**Formation energy from the elements**: -0.393 eV/atom

***

No. 3
The following is a DFT calculation (GGA-PBEsol) of Tc2BiSbC after structural relaxation.

Geometry as extended XYZ:
```
5
Lattice="4.228 0.000 0.000 0.000 4.228 0.000 0.000 0.000 4.766" Properties=species:S:1:pos:R:3 pbc="T T T"
Tc 0.000 2.114 0.000
Tc 2.114 0.000 0.000
Bi 0.000 0.000 2.383
Sb 2.114 2.114 2.383
C 2.114 2.114 0.000
```

Properties
**Space group**: P4/mmm, No. 123
**Formation energy from raw total energies**: 0.918 eV/atom

***

No. 4
The following is a DFT calculation (GGA-PBEsol) of Rb2NaScI6 after structural relaxation.

Geometry as extended XYZ:
```
10
Lattice="0.000 5.897 5.897 5.897 0.000 5.897 5.897 5.897 0.000" Properties=species:S:1:pos:R:3 pbc="T T T"
Rb 2.949 2.949 2.949
Rb 8.846 8.846 8.846
Na 0.000 0.000 0.000
Sc 5.897 5.897 5.897
I 5.897 5.897 3.052
I 5.897 3.052 5.897
I 8.742 5.897 5.897
I 3.052 5.897 5.897
I 5.897 8.742 5.897
I 5.897 5.897 8.742
```

Properties
**Space group**: Fm-3m, No. 225
**Formation energy from raw total energies**: -1.312 eV/atom

***

No. 5
The following is a DFT calculation (GGA-PBEsol) of ScFeNiPd2 after structural relaxation.

Geometry as extended XYZ:
```
5
Lattice="4.590 0.000 0.000 0.000 4.590 0.000 0.000 0.000 4.277" Properties=species:S:1:pos:R:3 pbc="T T T"
Sc 0.000 0.000 0.000
Fe 0.000 0.000 2.138
Ni 2.295 2.295 2.138
Pd 0.000 2.295 0.000
Pd 2.295 0.000 0.000
```

Properties
**Space group**: P4/mmm, No. 123
**Formation energy from the elements**: 1.193 eV/atom

***

No. 6
The following is a DFT calculation (GGA-PBEsol) of MgGe2Bi after structural relaxation.

Geometry as extended XYZ:
```
16
Lattice="7.109 0.000 0.000 0.000 7.109 0.000 0.000 0.000 7.109" Properties=species:S:1:pos:R:3 pbc="T T T"
Mg 0.000 0.000 0.000
Mg 0.000 3.554 3.554
Mg 3.554 0.000 3.554
Mg 3.554 3.554 0.000
Ge 1.777 1.777 1.777
Ge 1.777 1.777 5.332
Ge 1.777 5.332 1.777
Ge 1.777 5.332 5.332
Ge 5.332 1.777 1.777
Ge 5.332 1.777 5.332
Ge 5.332 5.332 1.777
Ge 5.332 5.332 5.332
Bi 0.000 0.000 3.554
Bi 0.000 3.554 0.000
Bi 3.554 0.000 0.000
Bi 3.554 3.554 3.554
```

Properties
**Space group**: Fm-3m, No. 225
**Formation energy from the elements**: 0.146 eV/atom

***

No. 7
The following is a DFT calculation (GGA-PBEsol) of TlCuBi3 after structural relaxation.

Geometry as extended XYZ:
```
5
Lattice="5.280 0.000 0.000 0.000 5.280 0.000 0.000 0.000 5.280" Properties=species:S:1:pos:R:3 pbc="T T T"
Tl 0.000 0.000 0.000
Cu 2.640 2.640 2.640
Bi 0.000 2.640 2.640
Bi 2.640 0.000 2.640
Bi 2.640 2.640 0.000
```

Properties
**Space group**: Pm-3m, No. 221
**Energy above the lowest structure with this stoichiometry**: 0 meV/atom
**Formation energy from the elements**: 0.317 eV/atom

***

No. 8
The following is a DFT calculation (GGA-PBEsol) of ZrInF2 after structural relaxation.

Geometry as extended XYZ:
```
16
Lattice="6.234 0.000 0.000 0.000 6.234 0.000 0.000 0.000 6.234" Properties=species:S:1:pos:R:3 pbc="T T T"
Zr 0.000 0.000 0.000
Zr 0.000 3.117 3.117
Zr 3.117 0.000 3.117
Zr 3.117 3.117 0.000
In 0.000 0.000 3.117
In 0.000 3.117 0.000
In 3.117 0.000 0.000
In 3.117 3.117 3.117
F 1.559 1.559 1.559
F 1.559 1.559 4.676
F 1.559 4.676 1.559
F 1.559 4.676 4.676
F 4.676 1.559 1.559
F 4.676 1.559 4.676
F 4.676 4.676 1.559
F 4.676 4.676 4.676
```

Properties
**Space group**: Fm-3m, No. 225
**Formation energy from raw total energies**: -1.195 eV/atom

***

No. 9
The following is a DFT calculation (GGA-PBEsol) of CrCu3C after structural relaxation.

Geometry as extended XYZ:
```
5
Lattice="4.400 0.000 0.000 0.000 4.400 0.000 0.000 0.000 4.400" Properties=species:S:1:pos:R:3 pbc="T T T"
Cr 0.000 0.000 0.000
Cu 0.000 0.000 2.200
Cu 0.000 2.200 0.000
Cu 2.200 0.000 0.000
C 2.200 2.200 2.200
```

Properties
**Space group**: Pm-3m, No. 221
**Formation energy from the elements**: 2.687 eV/atom

***

No. 10
The following is a DFT calculation (GGA-PBEsol) of Rb2ZnI4 after structural relaxation.

Geometry as extended XYZ:
```
14
Lattice="7.631 0.000 0.000 0.000 8.024 0.000 -3.422 0.000 9.660" Properties=species:S:1:pos:R:3 pbc="T T T"
Rb 1.398 2.006 0.395
Rb 0.209 2.006 5.631
Rb 3.999 6.018 4.029
Rb 2.810 6.018 9.265
Zn -1.181 6.018 7.595
Zn 5.389 2.006 2.065
I -0.776 4.067 2.673
I -0.776 7.969 2.673
I 2.637 6.018 0.515
I 0.989 6.018 6.178
I 3.220 2.006 3.482
I 1.571 2.006 9.145
I 4.985 0.055 6.986
I 4.985 3.957 6.986
```

Properties
**Space group**: P2_1/m, No. 11
**Formation energy from raw total energies**: -1.103 eV/atom